DFT (GGA-PBE) results for a relaxed structure of SrIn2SnSe6.

```
SrIn2SnSe6
1.0
-5.7171 2.2277 -4.5555
-4.5033 -8.1790 -2.6629
-6.9775 3.1393 5.9771
Sr In Sn Se
2 4 2 12
Cartesian
-6.1865 -6.4606 -2.9151
-11.0115 3.6486 1.6739
-8.8381 -3.2434 -0.2917
-5.0899 -2.5641 -0.1082
-8.3598 0.4314 -0.9495
-12.1080 -0.2479 -1.1331
-7.9735 1.7142 3.3252
-9.2244 -4.5262 -4.5665
-10.7711 -4.7036 1.4527
-3.2358 -0.7433 -1.5774
-6.4269 1.8916 -2.6940
-13.9622 -2.0687 0.3361
-9.0276 -5.1848 -2.0697
-4.0270 -4.6181 -1.3801
-8.1703 2.3728 0.8285
-13.1709 1.8061 0.1389
-12.6209 -1.8460 -3.1733
-7.0308 -1.7036 -1.7590
-4.5770 -0.9660 1.9320
-10.1671 -1.1084 0.5178
```

Calculated values
Its calculated total energy is -3.9309 eV/atom. Its uncorrected formation energy is -0.724 eV per atom. As for the crystal system: monoclinic.